Record 1
VASP calculation (GGA-PBE) on an optimized crystal structure of Ac6YTe8.

Calculated values
**ρ**: 7.0 g cm⁻³
**Energy**: -0.1931 hartree per atom
**Total magnetic moment**: 0.00 μB/f.u.
**ΔE_f (raw)**: -1.5041 eV per atom

Structure (POSCAR):
```
Ac6YTe8
1.0
8.147 0.000 4.704
2.716 7.681 4.704
0.000 0.000 9.408
Ac Y Te
6 1 8
direct
0.000 0.500 0.500
0.500 0.000 0.000
0.500 0.500 0.000
0.000 0.000 0.500
0.000 0.500 0.000
0.500 0.000 0.500
0.000 0.000 0.000
0.750 0.750 0.750
0.250 0.250 0.250
0.761 0.239 0.239
0.239 0.761 0.761
0.239 0.239 0.761
0.761 0.761 0.239
0.761 0.239 0.761
0.239 0.761 0.239
```


Record 2
VASP calculation (GGA-PBE) on an optimized crystal structure of AcYTe.

Calculated values
**ρ**: 6.6 g cm⁻³
**Energy**: -0.1966 hartree per atom
**Total magnetic moment**: 0.09 μB/f.u.
**ΔE_f (raw)**: -0.7774 eV per atom

Structure (POSCAR):
```
AcYTe
1.0
4.219 0.000 0.000
2.110 3.654 0.000
2.110 1.218 14.517
Te Ac Y
2 2 2
direct
0.241 0.241 0.276
0.759 0.759 0.724
0.372 0.372 0.883
0.628 0.628 0.117
0.865 0.865 0.404
0.135 0.135 0.596
```


Record 3
VASP calculation (GGA-PBE) on an optimized crystal structure of AcY5Te6.

Calculated values
**ρ**: 6.5 g cm⁻³
**Energy**: -0.2182 hartree per atom
**Total magnetic moment**: 0.00 μB/f.u.
**ΔE_f (raw)**: -1.3298 eV per atom

Structure (POSCAR):
```
AcY5Te6
1.0
7.533 -0.127 -1.414
-4.079 6.335 -1.414
0.149 0.268 7.685
Y Ac Te
5 1 6
direct
0.848 0.152 0.500
0.668 0.332 0.000
0.500 0.500 0.500
0.332 0.668 0.000
0.152 0.848 0.500
0.000 0.000 0.000
0.439 0.087 0.263
0.913 0.561 0.737
0.269 0.269 0.752
0.731 0.731 0.248
0.087 0.439 0.263
0.561 0.913 0.737
```


Record 4
VASP calculation (GGA-PBE) on an optimized crystal structure of Ac5Y3Te8.

Calculated values
**ρ**: 7.3 g cm⁻³
**Energy**: -0.2011 hartree per atom
**Total magnetic moment**: 0.00 μB/f.u.
**ΔE_f (raw)**: -1.4041 eV per atom

Structure (POSCAR):
```
Ac5Y3Te8
1.0
7.891 0.000 4.520
2.651 7.432 4.520
-0.091 -0.064 9.307
Ac Y Te
5 3 8
direct
0.500 0.000 0.000
0.500 0.500 0.000
0.000 0.000 0.000
0.000 0.500 0.000
0.500 0.500 0.500
0.500 0.000 0.500
0.000 0.000 0.500
0.000 0.500 0.500
0.250 0.250 0.731
0.250 0.769 0.731
0.769 0.250 0.731
0.759 0.759 0.724
0.750 0.750 0.269
0.750 0.231 0.269
0.231 0.750 0.269
0.241 0.241 0.276
```


Record 5
VASP calculation (GGA-PBE) on an optimized crystal structure of Ac3YTe4.

Calculated values
**ρ**: 7.5 g cm⁻³
**Energy**: -0.1964 hartree per atom
**Total magnetic moment**: 0.00 μB/f.u.
**ΔE_f (raw)**: -1.4255 eV per atom

Structure (POSCAR):
```
Ac3YTe4
1.0
-6.658 -3.805 -2.210
2.535 -3.059 7.185
-5.030 6.229 4.426
Y Ac Te
2 6 8
direct
0.750 0.000 0.875
0.250 0.000 0.125
0.750 0.000 0.373
0.250 0.000 0.627
0.750 0.500 0.624
0.750 0.500 0.126
0.250 0.500 0.376
0.250 0.500 0.874
0.989 0.240 0.634
0.501 0.233 0.885
0.489 0.240 0.366
0.001 0.233 0.115
0.999 0.767 0.885
0.511 0.760 0.634
0.499 0.767 0.115
0.011 0.760 0.366
```


Record 6
VASP calculation (GGA-PBE) on an optimized crystal structure of Ac5YTe8.

Calculated values
**ρ**: 7.7 g cm⁻³
**Energy**: -0.1927 hartree per atom
**Total magnetic moment**: 0.00 μB/f.u.
**ΔE_f (raw)**: -1.5189 eV per atom

Structure (POSCAR):
```
Ac5YTe8
1.0
-0.394 2.108 -8.292
-2.286 -8.192 1.011
-5.324 5.052 4.415
Ac Y Te
5 1 8
direct
0.000 0.374 0.126
0.874 0.873 0.248
0.752 0.626 0.625
0.500 0.000 0.500
0.375 0.127 0.000
0.250 0.500 0.750
0.133 0.743 0.019
0.981 0.114 0.724
0.782 0.251 0.377
0.623 0.405 0.874
0.469 0.595 0.218
0.611 0.886 0.867
0.276 0.257 0.389
0.126 0.749 0.531
```


Record 7
VASP calculation (GGA-PBE) on an optimized crystal structure of Ac5YTe6.

Calculated values
**ρ**: 7.6 g cm⁻³
**Energy**: -0.1938 hartree per atom
**Total magnetic moment**: 0.00 μB/f.u.
**ΔE_f (raw)**: -1.4517 eV per atom

Structure (POSCAR):
```
Ac5YTe6
1.0
7.957 -0.139 -1.493
-4.312 6.688 -1.493
0.147 0.263 8.104
Y Ac Te
1 5 6
direct
0.000 0.000 0.000
0.824 0.176 0.500
0.665 0.335 0.000
0.500 0.500 0.500
0.335 0.665 0.000
0.176 0.824 0.500
0.396 0.078 0.237
0.922 0.604 0.763
0.233 0.233 0.752
0.767 0.767 0.248
0.078 0.396 0.237
0.604 0.922 0.763
```


Record 8
VASP calculation (GGA-PBE) on an optimized crystal structure of AcY2Te5.

Calculated values
**ρ**: 6.9 g cm⁻³
**Energy**: -0.1989 hartree per atom
**Total magnetic moment**: 0.00 μB/f.u.
**ΔE_f (raw)**: -1.3191 eV per atom

Structure (POSCAR):
```
AcY2Te5
1.0
8.323 0.000 0.000
0.000 8.323 0.000
-4.161 -4.161 7.211
Ac Y Te
2 4 10
direct
0.750 0.750 0.500
0.250 0.250 0.500
0.152 0.348 0.000
0.652 0.152 0.000
0.348 0.848 0.000
0.848 0.652 0.000
0.510 0.702 0.712
0.798 0.990 0.288
0.000 0.000 0.000
0.500 0.500 0.000
0.202 0.010 0.712
0.702 0.202 0.712
0.010 0.510 0.712
0.298 0.798 0.288
0.990 0.490 0.288
0.490 0.298 0.288
```


Record 9
VASP calculation (GGA-PBE) on an optimized crystal structure of AcY3Te6.

Calculated values
**ρ**: 6.0 g cm⁻³
**Energy**: -0.2096 hartree per atom
**Total magnetic moment**: 0.00 μB/f.u.
**ΔE_f (raw)**: -1.4693 eV per atom

Structure (POSCAR):
```
AcY3Te6
1.0
4.480 0.000 0.000
0.000 12.630 -0.032
0.000 -4.251 12.266
Ac Y Te
2 6 12
direct
0.750 0.050 0.699
0.250 0.950 0.301
0.750 0.443 0.836
0.250 0.557 0.164
0.750 0.679 0.500
0.250 0.321 0.500
0.750 0.156 0.086
0.250 0.844 0.914
0.750 0.483 0.615
0.250 0.517 0.385
0.750 0.914 0.090
0.250 0.086 0.910
0.750 0.389 0.055
0.250 0.611 0.945
0.750 0.731 0.272
0.250 0.269 0.728
0.750 0.124 0.468
0.250 0.876 0.532
0.750 0.800 0.750
0.250 0.200 0.250
```


Record 10
VASP calculation (GGA-PBE) on an optimized crystal structure of Ac2YTe4.

Calculated values
**ρ**: 6.7 g cm⁻³
**Energy**: -0.1982 hartree per atom
**Total magnetic moment**: 0.00 μB/f.u.
**ΔE_f (raw)**: -1.4995 eV per atom

Structure (POSCAR):
```
Ac2YTe4
1.0
4.249 0.000 1.149
1.503 7.033 2.872
-0.047 -0.216 8.603
Ac Y Te
2 1 4
direct
0.357 0.586 0.700
0.643 0.414 0.300
0.000 0.000 0.000
0.060 0.249 0.630
0.940 0.751 0.370
0.336 0.249 0.079
0.664 0.751 0.921
```


Record 11
VASP calculation (GGA-PBE) on an optimized crystal structure of Ac3Y4Te8.

Calculated values
**ρ**: 6.4 g cm⁻³
**Energy**: -0.2067 hartree per atom
**Total magnetic moment**: 0.00 μB/f.u.
**ΔE_f (raw)**: -1.4033 eV per atom

Structure (POSCAR):
```
Ac3Y4Te8
1.0
7.884 -0.167 -4.319
-5.092 7.521 -0.234
-0.144 0.177 9.083
Ac Y Te
3 4 8
direct
0.500 0.500 0.000
0.500 0.000 0.500
0.500 0.500 0.500
0.500 0.000 0.000
0.000 0.500 0.000
0.000 0.000 0.000
0.000 0.000 0.500
0.491 0.237 0.237
0.000 0.754 0.246
0.984 0.240 0.240
0.500 0.759 0.241
0.500 0.241 0.759
0.016 0.760 0.760
0.000 0.246 0.754
0.509 0.763 0.763
```


Record 12
VASP calculation (GGA-PBE) on an optimized crystal structure of Ac3YTe6.

Calculated values
**ρ**: 6.5 g cm⁻³
**Energy**: -0.1939 hartree per atom
**Total magnetic moment**: 0.00 μB/f.u.
**ΔE_f (raw)**: -1.5111 eV per atom

Structure (POSCAR):
```
Ac3YTe6
1.0
7.754 0.000 -0.205
0.000 8.650 0.000
-0.210 0.000 11.673
Ac Y Te
6 2 12
direct
0.547 0.889 0.742
0.500 0.500 0.000
0.453 0.111 0.258
0.047 0.611 0.242
0.000 0.000 0.500
0.953 0.389 0.758
0.500 0.500 0.500
0.000 0.000 0.000
0.676 0.174 0.922
0.657 0.187 0.572
0.656 0.449 0.263
0.344 0.551 0.737
0.343 0.813 0.428
0.324 0.826 0.078
0.176 0.326 0.422
0.157 0.313 0.072
0.156 0.051 0.763
0.844 0.949 0.237
0.843 0.687 0.928
0.824 0.674 0.578
```


Record 13
VASP calculation (GGA-PBE) on an optimized crystal structure of AcYTe.

Calculated values
**ρ**: 7.1 g cm⁻³
**Energy**: -0.1967 hartree per atom
**Total magnetic moment**: 0.27 μB/f.u.
**ΔE_f (raw)**: -0.7820 eV per atom

Structure (POSCAR):
```
AcYTe
1.0
4.021 0.000 0.000
0.000 4.021 0.000
-2.010 -2.010 6.378
Y Ac Te
1 1 1
direct
0.306 0.306 0.612
0.002 0.002 0.004
0.692 0.692 0.384
```


Record 14
VASP calculation (GGA-PBE) on an optimized crystal structure of AcY2Te3.

Calculated values
**ρ**: 6.8 g cm⁻³
**Energy**: -0.2082 hartree per atom
**Total magnetic moment**: 0.00 μB/f.u.
**ΔE_f (raw)**: -1.2545 eV per atom

Structure (POSCAR):
```
AcY2Te3
1.0
-4.132 2.222 -0.351
1.271 -3.722 -6.986
-4.984 -8.680 3.718
Ac Y Te
2 4 6
direct
0.218 0.436 0.250
0.782 0.564 0.750
0.000 0.000 0.000
0.000 0.000 0.500
0.494 0.988 0.250
0.506 0.012 0.750
0.636 0.273 0.046
0.125 0.251 0.750
0.636 0.273 0.454
0.875 0.749 0.250
0.364 0.727 0.954
0.364 0.727 0.546
```


Record 15
VASP calculation (GGA-PBE) on an optimized crystal structure of Ac2YTe4.

Calculated values
**ρ**: 6.5 g cm⁻³
**Energy**: -0.1950 hartree per atom
**Total magnetic moment**: 0.00 μB/f.u.
**ΔE_f (raw)**: -1.4137 eV per atom

Structure (POSCAR):
```
Ac2YTe4
1.0
-3.839 1.884 -1.052
-0.524 -7.676 -2.620
-5.898 -4.309 13.806
Ac Y Te
4 2 8
direct
0.132 0.264 0.424
0.868 0.736 0.924
0.132 0.264 0.076
0.868 0.736 0.576
0.630 0.261 0.750
0.370 0.739 0.250
0.786 0.571 0.128
0.786 0.571 0.372
0.214 0.429 0.872
0.214 0.429 0.628
0.988 0.976 0.750
0.012 0.024 0.250
0.500 0.000 0.000
0.500 0.000 0.500
```


Record 16
VASP calculation (GGA-PBE) on an optimized crystal structure of Ac4Y3Te8.

Calculated values
**ρ**: 6.3 g cm⁻³
**Energy**: -0.1954 hartree per atom
**Total magnetic moment**: 0.00 μB/f.u.
**ΔE_f (raw)**: -1.2525 eV per atom

Structure (POSCAR):
```
Ac4Y3Te8
1.0
7.646 0.000 4.124
2.711 7.149 4.124
-0.554 -0.383 10.178
Ac Y Te
4 3 8
direct
0.000 0.000 0.000
0.348 0.348 0.955
0.500 0.500 0.500
0.652 0.652 0.045
0.500 0.000 0.500
0.000 0.000 0.500
0.000 0.500 0.500
0.229 0.229 0.313
0.228 0.749 0.273
0.749 0.749 0.273
0.749 0.228 0.273
0.771 0.771 0.687
0.772 0.251 0.727
0.251 0.251 0.727
0.251 0.772 0.727
```


Record 17
VASP calculation (GGA-PBE) on an optimized crystal structure of Ac5Y2Te12.

Calculated values
**ρ**: 6.1 g cm⁻³
**Energy**: -0.1862 hartree per atom
**Total magnetic moment**: 0.00 μB/f.u.
**ΔE_f (raw)**: -1.3218 eV per atom

Structure (POSCAR):
```
Ac5Y2Te12
1.0
8.625 0.000 0.000
-4.312 8.864 0.343
0.000 -2.740 10.038
Ac Y Te
5 2 12
direct
0.294 0.588 0.652
0.325 0.650 0.190
0.000 0.000 0.500
0.675 0.350 0.810
0.706 0.412 0.348
0.748 0.000 0.000
0.252 0.000 0.000
0.037 0.074 0.206
0.066 0.642 0.926
0.576 0.642 0.926
0.103 0.705 0.437
0.601 0.705 0.437
0.488 0.976 0.785
0.512 0.024 0.215
0.897 0.295 0.563
0.399 0.295 0.563
0.934 0.358 0.074
0.424 0.358 0.074
0.963 0.926 0.794
```


Record 18
VASP calculation (GGA-PBE) on an optimized crystal structure of Ac3YTe4.

Calculated values
**ρ**: 7.5 g cm⁻³
**Energy**: -0.1964 hartree per atom
**Total magnetic moment**: 0.00 μB/f.u.
**ΔE_f (raw)**: -1.4254 eV per atom

Structure (POSCAR):
```
Ac3YTe4
1.0
4.562 0.000 0.000
0.000 8.098 -0.007
0.000 -2.560 7.683
Ac Y Te
3 1 4
direct
0.000 0.000 0.500
0.500 0.500 0.500
0.000 0.500 0.000
0.500 0.000 0.000
0.000 0.232 0.232
0.500 0.759 0.241
0.000 0.768 0.768
0.500 0.241 0.759
```


Record 19
VASP calculation (GGA-PBE) on an optimized crystal structure of Ac3YTe6.

Calculated values
**ρ**: 6.3 g cm⁻³
**Energy**: -0.1936 hartree per atom
**Total magnetic moment**: 0.00 μB/f.u.
**ΔE_f (raw)**: -1.5042 eV per atom

Structure (POSCAR):
```
Ac3YTe6
1.0
9.337 0.020 -1.472
-1.725 9.176 -1.472
0.017 0.020 9.452
Ac Y Te
6 2 12
direct
0.118 0.629 0.288
0.288 0.118 0.629
0.371 0.712 0.882
0.629 0.288 0.118
0.712 0.882 0.371
0.882 0.371 0.712
0.000 0.000 0.000
0.500 0.500 0.500
0.036 0.681 0.935
0.065 0.964 0.319
0.187 0.429 0.562
0.319 0.065 0.964
0.429 0.562 0.187
0.438 0.813 0.571
0.562 0.187 0.429
0.571 0.438 0.813
0.681 0.935 0.036
0.813 0.571 0.438
0.935 0.036 0.681
0.964 0.319 0.065
```